{
  "formula": "Ba2CaTiTe",
  "functional": "SCAN",
  "state": "single point on PBEsol structure",
  "lattice": [[-1.3748, 3.1929, 3.9214], [-2.5890, -4.7813, 2.9854], [5.3968, -1.1542, 2.8318]],
  "species": ["Ca", "Ba", "Ba", "Te", "Ti"],
  "fractional_positions": [[0.5000, 0.5000, 0.5000], [0.0000, 0.0000, 0.5000], [0.0000, 0.5000, 0.0000], [0.5000, 0.0000, 0.0000], [0.0000, 0.0000, 0.0000]],
  "formation_energy_uncorrected_kcal_per_mol_atoms": 2.5,
  "mass_density_g_cm3": 4.037
}

{
  "formula": "BaCaTl4",
  "functional": "SCAN",
  "state": "single point on PBEsol structure",
  "lattice": [[-3.1440, -4.1459, 3.6749], [3.2233, -4.2298, 3.5068], [0.1752, 0.5931, 6.3400]],
  "species": ["Ca", "Tl", "Tl", "Tl", "Tl", "Ba"],
  "fractional_positions": [[0.0000, 0.0000, 0.0000], [0.8764, 0.3745, 0.3745], [0.3745, 0.3745, 0.8764], [0.3745, 0.8764, 0.3745], [0.3745, 0.3745, 0.3745], [0.7500, 0.7500, 0.7500]],
  "e_tot_ev_per_atom": -56.807,
  "mass_density_g_cm3": 9.039
}

{
  "formula": "BaCaTl",
  "functional": "SCAN",
  "state": "single point on PBEsol structure",
  "lattice": [[4.0186, 0.0000, 0.0000], [0.0000, 4.0186, 0.0000], [-2.0093, -2.0093, 6.9715]],
  "species": ["Tl", "Ca", "Ba"],
  "fractional_positions": [[0.6819, 0.6819, 0.3638], [0.2953, 0.2953, 0.5907], [0.0228, 0.0228, 0.0455]],
  "e_tot_ev_per_atom": -40.962,
  "mass_density_g_cm3": 5.631
}

{
  "formula": "BaCaW2",
  "functional": "SCAN",
  "state": "single point on PBEsol structure",
  "lattice": [[2.8549, 0.0330, 0.0000], [-0.0982, 2.8534, 0.0000], [0.0000, 0.0000, 10.8872]],
  "species": ["W", "W", "Ba", "Ca"],
  "fractional_positions": [[0.0000, 0.0000, 0.7658], [0.0000, 0.0000, 0.2342], [0.5000, 0.5000, 0.5000], [0.5000, 0.5000, 0.0000]],
  "e_above_lowest_polymorph_mev_per_atom": 0,
  "mass_density_g_cm3": 10.202
}

{
  "formula": "BaCaW2",
  "functional": "SCAN",
  "state": "single point on PBEsol structure",
  "lattice": [[-1.0217, -2.7770, -2.0291], [4.0417, -1.6983, 0.2893], [-1.4718, -2.7381, 4.4885]],
  "species": ["Ca", "W", "W", "Ba"],
  "fractional_positions": [[0.0000, 0.5000, 0.5000], [0.0000, 0.0000, 0.0000], [0.5000, 0.5000, 0.0000], [0.5000, 0.0000, 0.5000]],
  "e_above_lowest_polymorph_mev_per_atom": 18,
  "mass_density_g_cm3": 10.517
}

{
  "formula": "BaCaY2",
  "functional": "SCAN",
  "state": "single point on PBEsol structure",
  "lattice": [[-2.3811, 1.4815, -2.9389], [-1.6161, -5.5778, -1.5024], [-4.6276, 0.2914, 3.8961]],
  "species": ["Ca", "Y", "Y", "Ba"],
  "fractional_positions": [[0.0000, 0.5000, 0.5000], [0.0000, 0.0000, 0.0000], [0.5000, 0.5000, 0.0000], [0.5000, 0.0000, 0.5000]],
  "e_above_lowest_polymorph_mev_per_atom": 0,
  "mass_density_g_cm3": 3.997
}

{
  "formula": "BaCaY2",
  "functional": "SCAN",
  "state": "single point on PBEsol structure",
  "lattice": [[4.1656, 0.0000, 0.0000], [0.0000, 5.9504, 0.0000], [0.0000, 0.0000, 5.9504]],
  "species": ["Y", "Y", "Ba", "Ca"],
  "fractional_positions": [[0.0000, 0.0000, 0.5000], [0.0000, 0.5000, 0.0000], [0.5000, 0.5000, 0.5000], [0.5000, 0.0000, 0.0000]],
  "e_above_lowest_polymorph_mev_per_atom": 52,
  "mass_density_g_cm3": 3.999
}

{
  "formula": "BaCa3Zn",
  "functional": "SCAN",
  "state": "single point on PBEsol structure",
  "lattice": [[-1.3946, 0.8321, -5.6215], [-2.8713, -5.0983, -0.0424], [-4.9040, 2.7484, 1.6234]],
  "species": ["Ba", "Ca", "Ca", "Ca", "Zn"],
  "fractional_positions": [[0.5000, 0.5000, 0.5000], [0.0000, 0.5000, 0.0000], [0.5000, 0.0000, 0.0000], [0.0000, 0.0000, 0.5000], [0.0000, 0.0000, 0.0000]],
  "e_tot_ev_per_atom": -16.469,
  "mass_density_g_cm3": 2.677
}

{
  "formula": "Ba2CaZn2",
  "functional": "SCAN",
  "state": "single point on PBEsol structure",
  "lattice": [[4.3632, 0.0000, 0.0000], [0.0000, 8.9148, 0.0000], [0.0000, 0.0000, 8.9148]],
  "species": ["Ba", "Ba", "Ba", "Ba", "Ca", "Ca", "Zn", "Zn", "Zn", "Zn"],
  "fractional_positions": [[0.5000, 0.3442, 0.1558], [0.5000, 0.8442, 0.3442], [0.5000, 0.1558, 0.6558], [0.5000, 0.6558, 0.8442], [0.0000, 0.0000, 0.0000], [0.0000, 0.5000, 0.5000], [0.0000, 0.6352, 0.1352], [0.0000, 0.8648, 0.6352], [0.0000, 0.1352, 0.3648], [0.0000, 0.3648, 0.8648]],
  "e_tot_ev_per_atom": -23.261,
  "mass_density_g_cm3": 4.267
}

{
  "formula": "BaCaZn2",
  "functional": "SCAN",
  "state": "single point on PBEsol structure",
  "lattice": [[-0.3058, 3.6631, 0.0139], [-3.3279, -0.2940, 4.2412], [6.0759, -1.3418, 1.2381]],
  "species": ["Zn", "Zn", "Ba", "Ca"],
  "fractional_positions": [[0.7071, 0.2071, 0.4141], [0.0461, 0.0461, 0.0923], [0.4710, 0.4710, 0.9419], [0.2758, 0.7758, 0.5517]],
  "e_above_lowest_polymorph_mev_per_atom": 104,
  "mass_density_g_cm3": 4.741
}

{
  "formula": "BaCaZn2",
  "functional": "SCAN",
  "state": "single point on PBEsol structure",
  "lattice": [[-2.6148, 0.9206, 2.5579], [2.7335, -2.7610, 3.7880], [2.7968, 4.4796, 1.2469]],
  "species": ["Ba", "Zn", "Zn", "Ca"],
  "fractional_positions": [[0.5000, 0.5000, 0.5000], [0.0000, 0.5000, 0.0000], [0.0000, 0.0000, 0.5000], [0.5000, 0.0000, 0.0000]],
  "e_above_lowest_polymorph_mev_per_atom": 74,
  "mass_density_g_cm3": 4.608
}

{
  "formula": "BaCa2Zn2",
  "functional": "SCAN",
  "state": "single point on PBEsol structure",
  "lattice": [[4.4334, 0.0000, 0.0000], [0.0000, 8.2680, 0.0000], [0.0000, 0.0000, 8.2680]],
  "species": ["Ba", "Ba", "Zn", "Zn", "Zn", "Zn", "Ca", "Ca", "Ca", "Ca"],
  "fractional_positions": [[0.0000, 0.5000, 0.5000], [0.0000, 0.0000, 0.0000], [0.0000, 0.6120, 0.1120], [0.0000, 0.3880, 0.8880], [0.0000, 0.8880, 0.6120], [0.0000, 0.1120, 0.3880], [0.5000, 0.3363, 0.1637], [0.5000, 0.1637, 0.6637], [0.5000, 0.8363, 0.3363], [0.5000, 0.6637, 0.8363]],
  "e_above_lowest_polymorph_mev_per_atom": 0,
  "mass_density_g_cm3": 3.817
}

Values of volume, in order: 40.3 30.5 37.5 22.2 21.5 36.9 36.9 40.1 34.7 27.0 27.8 30.3, all in A^3/atom.